# Cs3Ac2MnO6 (GGA+U, optimized geometry)
data_Cs3Ac2MnO6
_symmetry_space_group_name_H-M 'C 1 2/m 1'
_symmetry_Int_Tables_number 12
_cell_length_a 6.379
_cell_length_b 11.265
_cell_length_c 7.244
_cell_angle_alpha 90.00
_cell_angle_beta 107.12
_cell_angle_gamma 90.00
loop_
_symmetry_equiv_pos_as_xyz
'x,y,z'
'-x,-y,-z'
'-x,y,-z'
'x,-y,z'
'x+1/2,y+1/2,z'
'-x+1/2,-y+1/2,-z'
'-x+1/2,y+1/2,-z'
'x+1/2,-y+1/2,z'
loop_
_atom_site_label
_atom_site_type_symbol
_atom_site_fract_x
_atom_site_fract_y
_atom_site_fract_z
Cs1 Cs 0.000 0.000 0.000
Cs2 Cs 0.000 0.339 0.000
Ac1 Ac 0.000 0.169 0.500
Mn1 Mn 0.000 0.500 0.500
O1 O 0.218 0.340 0.679
O2 O 0.219 0.500 0.351
# Raw total energy   -144.5 eV for the cell shown
# Crystal system   monoclinic